# 1
VASP calculation (PBE) on an optimized crystal structure of ErGaCo2.

```
data_ErGaCo2
_chemical_formula_sum 'Er1 Ga1 Co2'
_space_group_name_H-M_alt 'P 4/m m m'
_space_group_IT_number 123
_space_group_name_Hall '-P 4 2'
_cell_length_a 3.1437
_cell_length_b 3.1437
_cell_length_c 6.0343
_cell_angle_alpha 90.00
_cell_angle_beta 90.00
_cell_angle_gamma 90.00
loop_
_atom_site_label
_atom_site_fract_x
_atom_site_fract_y
_atom_site_fract_z
Er1 0.0000 0.0000 0.0000
Ga1 0.0000 0.0000 0.5000
Co1 0.5000 0.5000 0.2889
```

Calculated values
Its crystal system is tetragonal. The uncorrected energy is -5.6474 eV/atom. For the energy of formation, the calculation gives -0.197 eV per atom.


# 2
VASP calculation (PBE) on an optimized crystal structure of VFe2Au.

```
data_VFe2Au
_chemical_formula_sum 'V4 Fe8 Au4'
_space_group_name_H-M_alt 'I -4 2 d'
_space_group_IT_number 122
_space_group_name_Hall 'I -4 2bw'
_cell_length_a 3.7496
_cell_length_b 3.7496
_cell_length_c 17.4616
_cell_angle_alpha 90.00
_cell_angle_beta 90.00
_cell_angle_gamma 90.00
loop_
_atom_site_label
_atom_site_fract_x
_atom_site_fract_y
_atom_site_fract_z
V1 0.0000 0.0000 0.0000
Fe1 0.2222 0.2500 0.1250
Au1 0.0000 0.0000 0.5000
```

Calculated values
Its crystal system is tetragonal. The uncorrected energy is -6.8332 eV/atom. For the energy of formation, the calculation gives 0.497 eV per atom. The polymorph energy (0 for the lowest one) is 0.4776 eV per atom.


# 3
VASP calculation (PBE) on an optimized crystal structure of Tc2SbCl.

```
data_Tc2SbCl
_chemical_formula_sum 'Tc4 Sb2 Cl2'
_space_group_name_H-M_alt 'I m m 2'
_space_group_IT_number 44
_cell_length_a 2.9467
_cell_length_b 4.2997
_cell_length_c 11.6666
_cell_angle_alpha 90.00
_cell_angle_beta 90.00
_cell_angle_gamma 90.00
loop_
_space_group_symop_operation_xyz
'x,y,z'
'-x,-y,z'
'-x,y,z'
'x,-y,z'
'x+1/2,y+1/2,z+1/2'
'-x+1/2,-y+1/2,z+1/2'
'-x+1/2,y+1/2,z+1/2'
'x+1/2,-y+1/2,z+1/2'
loop_
_atom_site_label
_atom_site_fract_x
_atom_site_fract_y
_atom_site_fract_z
Tc1 0.0000 0.0000 0.0000
Tc2 0.0000 0.5000 0.3201
Sb1 0.0000 0.0000 0.5894
Cl1 0.0000 0.5000 0.8016
```

Calculated values
Its crystal system is orthorhombic. The uncorrected energy is -6.2008 eV/atom. The polymorph energy (0 for the lowest one) is 0.5645 eV per atom. The calculation puts the formation energy (no corrections) at 0.474 eV per atom.


# 4
VASP calculation (PBE) on an optimized crystal structure of Tb9Sm11Tm4.

```
data_Tb9Sm11Tm4
_chemical_formula_sum 'Tb18 Sm22 Tm8'
_space_group_name_H-M_alt 'C m m m'
_space_group_IT_number 65
_space_group_name_Hall '-C 2 2'
_cell_length_a 16.8980
_cell_length_b 25.6255
_cell_length_c 3.6375
_cell_angle_alpha 90.00
_cell_angle_beta 90.00
_cell_angle_gamma 90.00
loop_
_atom_site_label
_atom_site_fract_x
_atom_site_fract_y
_atom_site_fract_z
Tb1 0.0000 0.0000 0.0000
Tb2 0.1024 0.2320 0.0000
Tb3 0.1413 0.4269 0.0000
Sm1 0.0000 0.1311 0.5000
Sm2 0.0000 0.3391 0.5000
Sm3 0.0000 0.5000 0.5000
Sm4 0.2073 0.0000 0.5000
Sm5 0.2242 0.3190 0.5000
Tm1 0.1572 0.1017 0.0000
```

Calculated values
Its crystal system is orthorhombic. The uncorrected energy is -4.5918 eV/atom. For the energy of formation, the calculation gives 0.053 eV per atom.


# 5
VASP calculation (PBE) on an optimized crystal structure of GeIF2.

```
data_GeIF2
_chemical_formula_sum 'Ge4 I4 F8'
_space_group_name_H-M_alt 'F m -3 m'
_space_group_IT_number 225
_space_group_name_Hall '-F 4 2 3'
_cell_length_a 6.5308
_cell_length_b 6.5308
_cell_length_c 6.5308
_cell_angle_alpha 90.00
_cell_angle_beta 90.00
_cell_angle_gamma 90.00
loop_
_atom_site_label
_atom_site_fract_x
_atom_site_fract_y
_atom_site_fract_z
Ge1 0.0000 0.0000 0.0000
I1 0.0000 0.0000 0.5000
F1 0.2500 0.2500 0.2500
```

Calculated values
Its crystal system is cubic. The uncorrected energy is -3.1185 eV/atom. The polymorph energy (0 for the lowest one) is 0.8908 eV per atom. The calculation puts the formation energy (no corrections) at -0.641 eV per atom.


# 6
VASP calculation (PBE) on an optimized crystal structure of Ce2PuMn.

```
data_Ce2PuMn
_chemical_formula_sum 'Ce2 Pu1 Mn1'
_space_group_name_H-M_alt 'P 4/m m m'
_space_group_IT_number 123
_space_group_name_Hall '-P 4 2'
_cell_length_a 3.3067
_cell_length_b 3.3067
_cell_length_c 8.0573
_cell_angle_alpha 90.00
_cell_angle_beta 90.00
_cell_angle_gamma 90.00
loop_
_atom_site_label
_atom_site_fract_x
_atom_site_fract_y
_atom_site_fract_z
Ce1 0.0000 0.0000 0.2100
Pu1 0.5000 0.5000 0.5000
Mn1 0.5000 0.5000 0.0000
```

Calculated values
Its crystal system is tetragonal. The uncorrected energy is -8.6446 eV/atom. For the energy of formation, the calculation gives 0.198 eV per atom. The polymorph energy (0 for the lowest one) is 0.0000 eV per atom.


# 7
VASP calculation (PBE) on an optimized crystal structure of Zn3AsS.

```
data_Zn3AsS
_chemical_formula_sum 'Zn3 As1 S1'
_space_group_name_H-M_alt 'P m -3 m'
_space_group_IT_number 221
_space_group_name_Hall '-P 4 2 3'
_cell_length_a 4.7910
_cell_length_b 4.7910
_cell_length_c 4.7910
_cell_angle_alpha 90.00
_cell_angle_beta 90.00
_cell_angle_gamma 90.00
loop_
_atom_site_label
_atom_site_fract_x
_atom_site_fract_y
_atom_site_fract_z
Zn1 0.0000 0.0000 0.5000
As1 0.0000 0.0000 0.0000
S1 0.5000 0.5000 0.5000
```

Calculated values
Its crystal system is cubic. The uncorrected energy is -2.2407 eV/atom. The polymorph energy (0 for the lowest one) is 0.0000 eV per atom. The calculation puts the formation energy (no corrections) at 0.279 eV per atom.


# 8
VASP calculation (PBE) on an optimized crystal structure of KNpSO2.

```
data_KNpSO2
_chemical_formula_sum 'K1 Np1 S1 O2'
_space_group_name_H-M_alt 'P 4 m m'
_space_group_IT_number 99
_cell_length_a 4.2623
_cell_length_b 4.2623
_cell_length_c 5.3626
_cell_angle_alpha 90.00
_cell_angle_beta 90.00
_cell_angle_gamma 90.00
loop_
_space_group_symop_operation_xyz
'x,y,z'
'-y,x,z'
'-x,-y,z'
'y,-x,z'
'-x,y,z'
'y,x,z'
'x,-y,z'
'-y,-x,z'
loop_
_atom_site_label
_atom_site_fract_x
_atom_site_fract_y
_atom_site_fract_z
K1 0.0000 0.0000 0.0000
Np1 0.5000 0.5000 0.4455
S1 0.5000 0.5000 0.9412
O1 0.0000 0.5000 0.4320
```

Calculated values
Its crystal system is tetragonal. The uncorrected energy is -7.8022 eV/atom. The calculation puts the formation energy (no corrections) at -2.186 eV per atom.


# 9
VASP calculation (PBE) on an optimized crystal structure of ZrScPdPb2.

```
data_ZrScPdPb2
_chemical_formula_sum 'Zr1 Sc1 Pd1 Pb2'
_space_group_name_H-M_alt 'P 4/m m m'
_space_group_IT_number 123
_space_group_name_Hall '-P 4 2'
_cell_length_a 5.2621
_cell_length_b 5.2621
_cell_length_c 4.9366
_cell_angle_alpha 90.00
_cell_angle_beta 90.00
_cell_angle_gamma 90.00
loop_
_atom_site_label
_atom_site_fract_x
_atom_site_fract_y
_atom_site_fract_z
Zr1 0.0000 0.0000 0.0000
Sc1 0.5000 0.5000 0.0000
Pd1 0.5000 0.5000 0.5000
Pb1 0.0000 0.5000 0.5000
```

Calculated values
Its crystal system is tetragonal. The uncorrected energy is -5.1587 eV/atom. For the energy of formation, the calculation gives 0.339 eV per atom.


# 10
VASP calculation (PBE) on an optimized crystal structure of BaNiP4.

```
data_BaNiP4
_chemical_formula_sum 'Ba4 Ni4 P16'
_space_group_name_H-M_alt 'F -4 3 m'
_space_group_IT_number 216
_space_group_name_Hall 'F -4 2 3'
_cell_length_a 8.0052
_cell_length_b 8.0052
_cell_length_c 8.0052
_cell_angle_alpha 90.00
_cell_angle_beta 90.00
_cell_angle_gamma 90.00
loop_
_atom_site_label
_atom_site_fract_x
_atom_site_fract_y
_atom_site_fract_z
Ba1 0.0000 0.0000 0.0000
Ni1 0.2500 0.2500 0.7500
P1 0.0997 0.0997 0.4003
```

Calculated values
Its crystal system is cubic. The uncorrected energy is -4.7035 eV/atom. For the energy of formation, the calculation gives 0.187 eV per atom.


# 11
VASP calculation (PBE) on an optimized crystal structure of Ca2Br.

```
data_Ca2Br
_chemical_formula_sum 'Ca2 Br1'
_space_group_name_H-M_alt 'P 6/m m m'
_space_group_IT_number 191
_space_group_name_Hall '-P 6 2'
_cell_length_a 6.0817
_cell_length_b 6.0817
_cell_length_c 3.6740
_cell_angle_alpha 90.00
_cell_angle_beta 90.00
_cell_angle_gamma 120.00
loop_
_atom_site_label
_atom_site_fract_x
_atom_site_fract_y
_atom_site_fract_z
Ca1 0.3333 0.6667 0.0000
Br1 0.0000 0.0000 0.5000
```

Calculated values
Its crystal system is hexagonal. The uncorrected energy is -2.0710 eV/atom. The polymorph energy (0 for the lowest one) is 0.7166 eV per atom. The calculation puts the formation energy (no corrections) at -0.179 eV per atom.


# 12
VASP calculation (PBE) on an optimized crystal structure of Cs4GaCl5.

```
data_Cs4GaCl5
_chemical_formula_sum 'Cs8 Ga2 Cl10'
_space_group_name_H-M_alt 'I 4'
_space_group_IT_number 79
_cell_length_a 10.8793
_cell_length_b 10.8793
_cell_length_c 7.0346
_cell_angle_alpha 90.00
_cell_angle_beta 90.00
_cell_angle_gamma 90.00
loop_
_space_group_symop_operation_xyz
'x,y,z'
'-y,x,z'
'-x,-y,z'
'y,-x,z'
'x+1/2,y+1/2,z+1/2'
'-y+1/2,x+1/2,z+1/2'
'-x+1/2,-y+1/2,z+1/2'
'y+1/2,-x+1/2,z+1/2'
loop_
_atom_site_label
_atom_site_fract_x
_atom_site_fract_y
_atom_site_fract_z
Cs1 0.0987 0.2978 0.0000
Ga1 0.0000 0.0000 0.4847
Cl1 0.0000 0.0000 0.1195
Cl2 0.0932 0.2850 0.4999
```

Calculated values
Its crystal system is tetragonal. The uncorrected energy is -3.2725 eV/atom. The calculation puts the formation energy (no corrections) at -1.705 eV per atom.


# 13
VASP calculation (PBE) on an optimized crystal structure of TiTc2Au.

```
data_TiTc2Au
_chemical_formula_sum 'Ti4 Tc8 Au4'
_space_group_name_H-M_alt 'I -4 2 d'
_space_group_IT_number 122
_space_group_name_Hall 'I -4 2bw'
_cell_length_a 3.8295
_cell_length_b 3.8295
_cell_length_c 18.8758
_cell_angle_alpha 90.00
_cell_angle_beta 90.00
_cell_angle_gamma 90.00
loop_
_atom_site_label
_atom_site_fract_x
_atom_site_fract_y
_atom_site_fract_z
Ti1 0.0000 0.0000 0.0000
Tc1 0.1948 0.2500 0.1250
Au1 0.0000 0.0000 0.5000
```

Calculated values
Its crystal system is tetragonal. The uncorrected energy is -7.6120 eV/atom. For the energy of formation, the calculation gives 0.364 eV per atom. The polymorph energy (0 for the lowest one) is 0.1982 eV per atom.